Compound: La2Fe2Se
Source: the Alexandria database
Functional: PBE
Structure: optimized geometry

Uncorrected energy, eV per atom: -6.372
Total magnetic moment, μB per cell: 7.585
Formation energy without anion corrections, kJ/mol of atoms: -31
Excess energy over the best structure of this formula in the dataset, meV per atom: 0

a = 7.483 Å, b = 7.483 Å, c = 3.945 Å
α = 90.00°, β = 90.00°, γ = 90.00°
Each line ends with the local moment (μB).
Positions (direct):
Fe1 0.397 0.897 0.000  2.06
Fe2 0.897 0.603 0.000  2.06
Fe3 0.603 0.103 0.000  2.06
Fe4 0.103 0.397 0.000  2.06
Se1 0.000 0.000 0.000  0.04
Se2 0.500 0.500 0.000  0.04
La1 0.187 0.687 0.500  -0.15
La2 0.687 0.813 0.500  -0.14
La3 0.813 0.313 0.500  -0.15
La4 0.313 0.187 0.500  -0.14